First-principles (PBE-GGA) data for a relaxed structure of LiGa2Rh3, as listed in Alexandria via LeMat-Bulk.

abc: 3.025 3.025 8.863
angles: 90.00 90.00 90.00
Space group P4/mmm (No. 123)
Unique sites:
1 Li 0.000 0.000 0.000 x1
2 Ga 0.000 0.000 0.321 x2
3 Rh 0.500 0.500 0.166 x2
4 Rh 0.500 0.500 0.500 x1

Summary:
The total magnetic moment comes out at 0.0 μB/f.u. The calculation puts the formation enthalpy at 0 K at -0.56 eV/atom. As for the energy above the most stable polymorph in this dataset: 82 meV per atom. Its electronic total energy is -33.39 eV/cell.



First-principles (PBE-GGA) data for a relaxed structure of LiGa5Rh2, as listed in Alexandria via LeMat-Bulk.

abc: 3.054 8.172 10.299
angles: 90.00 90.00 90.00
Space group Immm (No. 71)
Unique sites:
1 Li 0.000 0.000 0.000 x2
2 Ga 0.000 0.236 0.365 x8
3 Ga 0.000 0.500 0.000 x2
4 Rh 0.000 0.500 0.236 x4

Summary:
The total magnetic moment comes out at 0.0 μB/f.u. The calculation puts the formation enthalpy at 0 K at -0.38 eV/atom. Its electronic total energy is -69.62 eV/cell.



First-principles (PBE-GGA) data for a relaxed structure of Li2Ga2Rh, as listed in Alexandria via LeMat-Bulk.

abc: 6.747 6.747 3.143
angles: 90.00 90.00 90.00
Space group P4/mbm (No. 127)
Unique sites:
1 Li 0.159 0.341 0.000 x4
2 Ga 0.145 0.645 0.500 x4
3 Rh 0.000 0.000 0.500 x2

Summary:
The total magnetic moment comes out at 0.0 μB/f.u. The calculation puts the formation enthalpy at 0 K at -0.29 eV/atom. As for the energy above the most stable polymorph in this dataset: 236 meV per atom. Its electronic total energy is -37.41 eV/cell.



First-principles (PBE-GGA) data for a relaxed structure of Li2Ga3Rh, as listed in Alexandria via LeMat-Bulk.

abc: 7.303 13.322 4.433
angles: 90.00 127.21 90.00
Space group C2/c (No. 15)
Unique sites:
1 Li 0.000 0.087 0.250 x4
2 Li 0.000 0.257 0.750 x4
3 Ga 0.245 0.079 0.996 x8
4 Ga 0.250 0.250 0.500 x4
5 Rh 0.000 0.412 0.250 x4

Summary:
The total magnetic moment comes out at 0.0 μB/f.u. The calculation puts the formation enthalpy at 0 K at -0.42 eV/atom. Its electronic total energy is -91.02 eV/cell.



First-principles (PBE-GGA) data for a relaxed structure of LiGa2Rh2, as listed in Alexandria via LeMat-Bulk.

abc: 7.129 7.129 2.930
angles: 90.00 90.00 90.00
Space group P4/mbm (No. 127)
Unique sites:
1 Li 0.000 0.000 0.000 x2
2 Ga 0.143 0.357 0.000 x4
3 Rh 0.154 0.654 0.500 x4

Summary:
The total magnetic moment comes out at 0.0 μB/f.u. The calculation puts the formation enthalpy at 0 K at -0.63 eV/atom. As for the energy above the most stable polymorph in this dataset: 0 meV per atom. Its electronic total energy is -51.61 eV/cell.



First-principles (PBE-GGA) data for a relaxed structure of LiGa3Rh2, as listed in Alexandria via LeMat-Bulk.

abc: 5.453 9.419 3.973
angles: 90.00 90.00 90.00
Space group Cmmm (No. 65)
Unique sites:
1 Li 0.000 0.000 0.000 x2
2 Ga 0.000 0.500 0.500 x2
3 Ga 0.250 0.250 0.500 x4
4 Rh 0.000 0.333 0.000 x4

Summary:
The total magnetic moment comes out at 0.0 μB/f.u. The calculation puts the formation enthalpy at 0 K at -0.46 eV/atom. As for the energy above the most stable polymorph in this dataset: 136 meV per atom. Its electronic total energy is -56.95 eV/cell.